A relaxed Dy2Co2Ge crystal. Source: Alexandria via LeMat-Bulk, functional PBE.

a b c (Å): 5.345 5.345 7.475
angles (deg): 101.59 101.59 60.24
Element x y z (fractional)
Dy1 0.003 0.292 0.147
Dy2 0.292 0.003 0.647
Dy3 0.708 0.997 0.353
Dy4 0.997 0.708 0.853
Co1 0.221 0.502 0.499
Co2 0.498 0.779 0.001
Co3 0.502 0.221 0.999
Co4 0.779 0.498 0.501
Ge1 0.368 0.632 0.250
Ge2 0.632 0.368 0.750

Values from the calculation:
Fermi-level density of states: 0.9453 states/eV per atom
Space group: C2/c

A relaxed CaZr2W crystal. Source: Alexandria via LeMat-Bulk, functional PBE.

a b c (Å): 3.326 5.589 6.066
angles (deg): 117.37 105.74 90.11
Element x y z (fractional)
Ca1 0.000 0.000 0.000
Zr1 0.210 0.709 0.419
Zr2 0.790 0.291 0.581
W1 0.500 0.500 0.000

Values from the calculation:
ΔE to the lowest computed polymorph: 227 meV per atom
Fermi-level density of states: 1.3529 states/eV per atom
Space group: P-1

A relaxed KTcSn3 crystal. Source: Alexandria via LeMat-Bulk, functional PBE.

a b c (Å): 5.273 5.273 5.273
angles (deg): 90.00 90.00 90.00
Element x y z (fractional)
K1 0.000 0.000 0.000
Tc1 0.500 0.500 0.500
Sn1 0.000 0.500 0.500
Sn2 0.500 0.000 0.500
Sn3 0.500 0.500 0.000

Values from the calculation:
ΔE to the lowest computed polymorph: 0 meV per atom
Fermi-level density of states: 1.1737 states/eV per atom
Space group: Pm-3m

| no. | ΔH_f (0 K) (meV per atom) | VASP energy (eV per cell) | spin magnetization (μB/cell) |
| --- | --- | --- | --- |
| 1 | -481.3 | -60.9 | 0.0 |
| 2 | 441.5 | -30.3 | 0.0 |
| 3 | 95.6 | -23.0 | 1.7 |